# 1
# FeC3, relaxed, DFT PBE-GGA
data_FeC3
_chemical_formula_sum 'Fe1 C3'
_cell_length_a 3.376
_cell_length_b 3.376
_cell_length_c 2.587
_cell_angle_alpha 90.00
_cell_angle_beta 90.00
_cell_angle_gamma 90.00
_symmetry_space_group_name_H-M 'P 1'
_symmetry_Int_Tables_number 1
loop_
_symmetry_equiv_pos_as_xyz
'x,y,z'
loop_
_atom_site_label
_atom_site_type_symbol
_atom_site_fract_x
_atom_site_fract_y
_atom_site_fract_z
_atom_site_occupancy
Fe1 Fe 0.000 0.000 0.000 1
C1 C 0.000 0.500 0.500 1
C2 C 0.500 0.000 0.500 1
C3 C 0.500 0.500 0.000 1
# - Formation energy from the elements: 2.753 eV per atom
# - Total magnetic moment: 0.000 μB/f.u.
# - Crystal system: tetragonal
# - Energy relative to the lowest polymorph listed for this composition: 2181.5 meV/atom

---

# 2
# FeC2, relaxed, DFT PBE-GGA
data_FeC2
_chemical_formula_sum 'Fe1 C2'
_cell_length_a 3.214
_cell_length_b 3.214
_cell_length_c 2.890
_cell_angle_alpha 90.11
_cell_angle_beta 90.11
_cell_angle_gamma 74.52
_symmetry_space_group_name_H-M 'P 1'
_symmetry_Int_Tables_number 1
loop_
_symmetry_equiv_pos_as_xyz
'x,y,z'
loop_
_atom_site_label
_atom_site_type_symbol
_atom_site_fract_x
_atom_site_fract_y
_atom_site_fract_z
_atom_site_occupancy
Fe1 Fe 0.000 0.000 0.000 1
C1 C 0.370 0.370 0.000 1
C2 C 0.630 0.630 0.000 1
# - Formation energy from the elements: 1.235 eV per atom
# - Total magnetic moment: 0.000 μB/f.u.
# - Crystal system: monoclinic
# - Energy relative to the lowest polymorph listed for this composition: 716.4 meV/atom

---

# 3
# Fe5C4, relaxed, DFT PBE-GGA
data_Fe5C4
_chemical_formula_sum 'Fe5 C4'
_cell_length_a 6.571
_cell_length_b 6.571
_cell_length_c 6.571
_cell_angle_alpha 91.97
_cell_angle_beta 91.97
_cell_angle_gamma 158.61
_symmetry_space_group_name_H-M 'P 1'
_symmetry_Int_Tables_number 1
loop_
_symmetry_equiv_pos_as_xyz
'x,y,z'
loop_
_atom_site_label
_atom_site_type_symbol
_atom_site_fract_x
_atom_site_fract_y
_atom_site_fract_z
_atom_site_occupancy
Fe1 Fe 0.000 0.000 0.000 1
Fe2 Fe 0.335 0.335 0.670 1
Fe3 Fe 0.335 0.665 0.000 1
Fe4 Fe 0.665 0.335 0.000 1
Fe5 Fe 0.665 0.665 0.330 1
C1 C 0.000 0.209 0.209 1
C2 C 0.000 0.791 0.791 1
C3 C 0.209 0.000 0.209 1
C4 C 0.791 0.000 0.791 1
# - Formation energy from the elements: 0.832 eV per atom
# - Total magnetic moment: 0.461 μB/f.u.
# - Crystal system: tetragonal
# - Energy relative to the lowest polymorph listed for this composition: 371.7 meV/atom

---

# 4
# FeC2, relaxed, DFT PBE-GGA
data_FeC2
_chemical_formula_sum 'Fe1 C2'
_cell_length_a 4.806
_cell_length_b 4.806
_cell_length_c 4.806
_cell_angle_alpha 30.35
_cell_angle_beta 30.35
_cell_angle_gamma 30.35
_symmetry_space_group_name_H-M 'P 1'
_symmetry_Int_Tables_number 1
loop_
_symmetry_equiv_pos_as_xyz
'x,y,z'
loop_
_atom_site_label
_atom_site_type_symbol
_atom_site_fract_x
_atom_site_fract_y
_atom_site_fract_z
_atom_site_occupancy
Fe1 Fe 0.000 0.000 0.000 1
C1 C 0.161 0.161 0.161 1
C2 C 0.839 0.839 0.839 1
# - Formation energy from the elements: 0.572 eV per atom
# - Total magnetic moment: 2.244 μB/f.u.
# - Crystal system: trigonal
# - Energy relative to the lowest polymorph listed for this composition: 54.2 meV/atom

---

# 5
# Fe5C, relaxed, DFT PBE-GGA
data_Fe5C
_chemical_formula_sum 'Fe5 C1'
_cell_length_a 4.471
_cell_length_b 4.471
_cell_length_c 4.218
_cell_angle_alpha 90.00
_cell_angle_beta 90.00
_cell_angle_gamma 120.00
_symmetry_space_group_name_H-M 'P 1'
_symmetry_Int_Tables_number 1
loop_
_symmetry_equiv_pos_as_xyz
'x,y,z'
loop_
_atom_site_label
_atom_site_type_symbol
_atom_site_fract_x
_atom_site_fract_y
_atom_site_fract_z
_atom_site_occupancy
Fe1 Fe 0.000 0.500 0.000 1
Fe2 Fe 0.333 0.667 0.500 1
Fe3 Fe 0.500 0.000 0.000 1
Fe4 Fe 0.500 0.500 0.000 1
Fe5 Fe 0.667 0.333 0.500 1
C1 C 0.000 0.000 0.500 1
# - Formation energy from the elements: 1.293 eV per atom
# - Total magnetic moment: 9.676 μB/f.u.
# - Crystal system: hexagonal
# - Energy relative to the lowest polymorph listed for this composition: 1124.1 meV/atom

---

# 6
# Fe3C4, relaxed, DFT PBE-GGA
data_Fe3C4
_chemical_formula_sum 'Fe3 C4'
_cell_length_a 4.355
_cell_length_b 4.355
_cell_length_c 4.355
_cell_angle_alpha 90.00
_cell_angle_beta 90.00
_cell_angle_gamma 90.00
_symmetry_space_group_name_H-M 'P 1'
_symmetry_Int_Tables_number 1
loop_
_symmetry_equiv_pos_as_xyz
'x,y,z'
loop_
_atom_site_label
_atom_site_type_symbol
_atom_site_fract_x
_atom_site_fract_y
_atom_site_fract_z
_atom_site_occupancy
Fe1 Fe 0.000 0.000 0.500 1
Fe2 Fe 0.000 0.500 0.000 1
Fe3 Fe 0.500 0.000 0.000 1
C1 C 0.209 0.209 0.209 1
C2 C 0.209 0.791 0.791 1
C3 C 0.791 0.209 0.791 1
C4 C 0.791 0.791 0.209 1
# - Formation energy from the elements: 1.064 eV per atom
# - Total magnetic moment: 0.000 μB/f.u.
# - Crystal system: cubic
# - Energy relative to the lowest polymorph listed for this composition: 240.9 meV/atom

---

# 7
# Fe3C2, relaxed, DFT PBE-GGA
data_Fe3C2
_chemical_formula_sum 'Fe3 C2'
_cell_length_a 6.451
_cell_length_b 6.451
_cell_length_c 6.451
_cell_angle_alpha 26.11
_cell_angle_beta 26.11
_cell_angle_gamma 26.11
_symmetry_space_group_name_H-M 'P 1'
_symmetry_Int_Tables_number 1
loop_
_symmetry_equiv_pos_as_xyz
'x,y,z'
loop_
_atom_site_label
_atom_site_type_symbol
_atom_site_fract_x
_atom_site_fract_y
_atom_site_fract_z
_atom_site_occupancy
Fe1 Fe 0.000 0.000 0.000 1
Fe2 Fe 0.226 0.226 0.226 1
Fe3 Fe 0.774 0.774 0.774 1
C1 C 0.399 0.399 0.399 1
C2 C 0.601 0.601 0.601 1
# - Formation energy from the elements: 0.317 eV per atom
# - Total magnetic moment: 3.244 μB/f.u.
# - Crystal system: trigonal

---

# 8
# Fe5C3, relaxed, DFT PBE-GGA
data_Fe5C3
_chemical_formula_sum 'Fe5 C3'
_cell_length_a 2.489
_cell_length_b 2.489
_cell_length_c 10.966
_cell_angle_alpha 90.00
_cell_angle_beta 90.00
_cell_angle_gamma 90.00
_symmetry_space_group_name_H-M 'P 1'
_symmetry_Int_Tables_number 1
loop_
_symmetry_equiv_pos_as_xyz
'x,y,z'
loop_
_atom_site_label
_atom_site_type_symbol
_atom_site_fract_x
_atom_site_fract_y
_atom_site_fract_z
_atom_site_occupancy
Fe1 Fe 0.000 0.000 0.000 1
Fe2 Fe 0.000 0.000 0.217 1
Fe3 Fe 0.000 0.000 0.783 1
Fe4 Fe 0.500 0.500 0.396 1
Fe5 Fe 0.500 0.500 0.604 1
C1 C 0.000 0.000 0.500 1
C2 C 0.500 0.500 0.139 1
C3 C 0.500 0.500 0.861 1
# - Formation energy from the elements: 0.572 eV per atom
# - Total magnetic moment: 4.213 μB/f.u.
# - Crystal system: tetragonal
# - Energy relative to the lowest polymorph listed for this composition: 218.9 meV/atom